Entry 1:
The following is a PBE calculation of a relaxed Al2PtAu crystal, from Alexandria.

a b c (Å): 3.007 4.539 4.561
angles (deg): 87.90 89.88 90.00
Fractional coordinates of all 4 atoms:
Al 0.000 0.000 0.000
Al 0.000 0.500 0.500
Pt 0.500 0.000 0.500
Au 0.500 0.500 0.000

Values from the calculation:
ΔH_f (0 K) = -0.593 eV per atom
space-group type = No. 2
density of states at the Fermi level = 0.251 states/eV per atom
raw total energy = -4.79 eV per atom
offset from the most stable computed form = 105 meV/atom

***

Entry 2:
The following is a PBE calculation of a relaxed K2LaDyS4 crystal, from Alexandria.

a b c (Å): 7.232 4.171 7.759
angles (deg): 90.00 108.06 90.00
Fractional coordinates of all 8 atoms:
K 0.000 0.000 0.000
K 0.500 0.500 0.000
La 0.000 0.500 0.500
Dy 0.500 0.000 0.500
S 0.247 0.000 0.706
S 0.276 0.500 0.297
S 0.724 0.500 0.703
S 0.753 0.000 0.294

Values from the calculation:
formation energy without anion corrections = -43.734 kcal/mol of atoms
space-group type = No. 10
density of states at the Fermi level = 0.000 states/eV per atom
raw total energy = -5.43 eV per atom